Entry 1:
K4Rb3Pd | PBE | optimized geometry

```
16
Lattice="8.859 0.000 0.000 0.000 8.110 0.000 0.000 0.000 14.580" Properties=species:S:1:pos:R:3 pbc="T T T"
Rb 4.827 0.000 0.000
Rb 1.566 0.000 10.678
Rb 7.293 4.055 3.388
Rb 7.293 4.055 11.192
Rb 4.033 4.055 7.290
Rb 1.566 0.000 3.902
K 0.212 6.093 7.290
K 5.389 0.000 9.367
K 3.471 4.055 2.077
K 0.212 2.017 7.290
K 8.647 2.038 0.000
K 8.647 6.072 0.000
K 3.471 4.055 12.503
K 5.389 0.000 5.213
Pd 2.778 0.000 7.290
Pd 6.081 4.055 0.000
```

Summary:
**Space group**: Pmmn (59)
**Total moment**: 0.00 Bohr magnetons per cell
**E**: -11.94 eV/f.u.
**Fermi-level density of states**: 4.66 states/eV/f.u.

Entry 2:
P2S3I | PBE | optimized geometry

```
12
Lattice="4.159 0.000 0.000 0.000 9.257 1.298 -2.079 -0.668 10.706" Properties=species:S:1:pos:R:3 pbc="T T T"
P 0.000 2.087 2.240
P 0.000 4.672 7.087
P 2.079 6.502 9.763
P 2.079 3.916 4.917
I 2.079 0.406 3.312
I 0.000 8.183 8.692
S 2.079 6.598 11.666
S 0.000 4.049 8.913
S 0.000 1.990 0.338
S 0.000 3.062 5.545
S 2.079 5.527 6.459
S 2.079 4.539 3.090
```

Summary:
**Space group**: C2/m (12)
**Total moment**: 0.00 Bohr magnetons per cell
**E**: -24.36 eV/f.u.
**Fermi-level density of states**: 0.48 states/eV/f.u.

Entry 3:
CeSF | PBE | optimized geometry

```
6
Lattice="4.471 0.000 0.000 0.000 3.983 0.000 0.000 -1.991 7.261" Properties=species:S:1:pos:R:3 pbc="T T T"
F 2.235 0.000 0.000
F 0.000 0.000 0.000
Ce 1.118 1.991 5.305
Ce 3.353 0.000 1.956
S 3.353 0.000 4.825
S 1.118 1.991 2.437
```

Summary:
**Space group**: Cmcm (63)
**Total moment**: 1.91 Bohr magnetons per cell
**E**: -19.87 eV/f.u.
**Fermi-level density of states**: 6.57 states/eV/f.u.

Entry 4:
NaSc2N | PBE | optimized geometry

```
8
Lattice="6.566 0.000 0.000 0.000 6.566 0.000 3.283 3.283 4.698" Properties=species:S:1:pos:R:3 pbc="T T T"
Na 0.000 0.000 0.000
Na 6.566 3.283 2.349
Sc 2.869 4.925 1.174
Sc 8.208 6.980 3.523
Sc 3.697 1.642 1.174
Sc 4.925 6.152 3.523
N 3.283 3.283 0.000
N 3.283 6.566 2.349
```

Summary:
**Space group**: I-42d (122)
**Total moment**: 0.00 Bohr magnetons per cell
**E**: -24.24 eV/f.u.
**Fermi-level density of states**: 3.23 states/eV/f.u.

Entry 5:
SrTe2Br | PBE | optimized geometry

```
4
Lattice="-4.295 0.653 -1.620 0.601 -3.479 -3.005 -2.282 -4.168 4.370" Properties=species:S:1:pos:R:3 pbc="T T T"
Br -2.417 -2.455 -1.220
Sr -3.558 -4.539 0.964
Te -2.197 -4.013 4.207
Te -1.226 -2.239 2.347
```

Summary:
**Space group**: P4/mmm (123)
**Total moment**: 0.00 Bohr magnetons per cell
**E**: -13.15 eV/f.u.
**Polymorph energy (0 for the lowest one)**: 306 meV per atom
**Fermi-level density of states**: 5.12 states/eV/f.u.

| no. | volume (A^3/atom) |
| --- | --- |
| 1 | 65.47 |
| 2 | 34.65 |
| 3 | 21.55 |
| 4 | 25.32 |
| 5 | 34.69 |